No. 1
Material: Ca2ReF
Method: DFT, PBE
State: relaxed

Cell: 4.999 4.999 4.999 Å, 60.00 60.00 60.00°
Fractional positions:
Ca 0.250 0.250 0.250
Re 0.500 0.500 0.500
Ca 0.750 0.750 0.750
F 0.000 0.000 0.000

Results
The value obtained for the density is 5.36 g/cm³. For the magnetic moment, the calculation gives 2.01 μB per cell. As for the crystal system: cubic. As for the excess energy over the best structure of this formula in the dataset: 507 meV per atom. Its space-group type is No. 225. Its raw total energy is -17.99 eV/f.u. As for the density of states at the Fermi level: 3.7 states/eV per cell.

No. 2
Material: CaRe3F
Method: DFT, PBE
State: relaxed

Cell: 4.381 4.381 4.381 Å, 90.00 90.00 90.00°
Fractional positions:
Re 0.000 0.500 0.000
Ca 0.500 0.500 0.500
Re 0.500 0.000 0.000
F 0.000 0.000 0.000
Re 0.000 0.000 0.500

Results
The value obtained for the density is 12.20 g/cm³. For the magnetic moment, the calculation gives 2.32 μB per cell. As for the crystal system: cubic. As for the excess energy over the best structure of this formula in the dataset: 0 meV per atom. Its space-group type is No. 221. Its raw total energy is -34.23 eV/f.u. As for the density of states at the Fermi level: 7.2 states/eV per cell.

No. 3
Material: CaRe3F
Method: DFT, PBE
State: relaxed

Cell: 4.699 4.699 4.699 Å, 90.00 90.00 90.00°
Fractional positions:
Ca 0.000 0.000 0.000
Re 0.000 0.500 0.000
Re 0.000 0.000 0.500
Re 0.500 0.000 0.000
F 0.500 0.500 0.500

Results
The value obtained for the density is 9.89 g/cm³. For the magnetic moment, the calculation gives 2.87 μB per cell. As for the crystal system: cubic. As for the excess energy over the best structure of this formula in the dataset: 2156 meV per atom. Its space-group type is No. 221. Its raw total energy is -23.45 eV/f.u. As for the density of states at the Fermi level: 10.1 states/eV per cell.

No. 4
Material: Ca2ReF8
Method: DFT, PBE
State: relaxed

Cell: 6.411 7.850 5.550 Å, 44.99 64.35 90.00°
Fractional positions:
F 0.242 0.904 0.191
F 0.758 0.096 0.242
F 0.758 0.096 0.809
F 0.242 0.337 0.325
F 0.242 0.904 0.758
Ca 0.500 0.750 0.000
F 0.242 0.338 0.758
Re 0.000 0.000 0.000
F 0.758 0.663 0.675
F 0.758 0.662 0.242
Ca 0.500 0.250 0.000

Results
The value obtained for the density is 4.45 g/cm³. For the magnetic moment, the calculation gives 1.00 μB per cell. As for the crystal system: tetragonal. Its space-group type is No. 139. Its raw total energy is -63.69 eV/f.u. As for the density of states at the Fermi level: 6.0 states/eV per cell.

No. 5
Material: Ca2ReF
Method: DFT, PBE
State: relaxed

Cell: 6.863 6.863 6.169 Å, 56.20 56.20 90.00°
Fractional positions:
Ca 0.875 0.792 0.750
Ca 0.542 0.125 0.250
F 0.500 0.500 0.000
Ca 0.208 0.625 0.250
Ca 0.375 0.458 0.750
Re 0.750 0.250 0.500
F 0.250 0.750 0.500
Re 0.000 0.000 0.000

Results
The value obtained for the density is 5.28 g/cm³. For the magnetic moment, the calculation gives 4.78 μB per cell. As for the crystal system: tetragonal. As for the excess energy over the best structure of this formula in the dataset: 0 meV per atom. Its space-group type is No. 122. Its raw total energy is -20.02 eV/f.u. As for the density of states at the Fermi level: 8.9 states/eV per cell.

No. 6
Material: Ca2TiReF
Method: DFT, PBE
State: relaxed

Cell: 5.934 4.337 5.934 Å, 90.00 90.00 90.00°
Fractional positions:
Ca 0.000 0.000 0.500
Ca 0.500 0.000 0.000
F 0.500 0.500 0.500
Re 0.000 0.500 0.000
Ti 0.000 0.000 0.000

Results
The value obtained for the density is 3.62 g/cm³. For the magnetic moment, the calculation gives 0.00 μB per cell. As for the crystal system: tetragonal. Its space-group type is No. 123. Its raw total energy is -23.99 eV/f.u. As for the density of states at the Fermi level: 4.6 states/eV per cell.

No. 7
Material: CaTl2ReF
Method: DFT, PBE
State: relaxed

Cell: 6.067 4.057 6.067 Å, 90.00 90.00 90.00°
Fractional positions:
Re 0.500 0.500 0.500
Ca 0.000 0.000 0.000
Tl 0.500 0.000 0.000
F 0.000 0.500 0.000
Tl 0.000 0.000 0.500

Results
The value obtained for the density is 7.27 g/cm³. For the magnetic moment, the calculation gives 3.44 μB per cell. As for the crystal system: tetragonal. Its space-group type is No. 123. Its raw total energy is -19.37 eV/f.u. As for the density of states at the Fermi level: 4.0 states/eV per cell.

No. 8
Material: CaRhF6
Method: DFT, PBE
State: relaxed

Cell: 5.018 5.265 5.265 Å, 120.00 90.00 90.00°
Fractional positions:
F 0.229 0.965 0.331
F 0.229 0.367 0.035
F 0.229 0.669 0.633
Ca 0.500 0.000 0.000
F 0.771 0.965 0.633
F 0.771 0.669 0.035
Rh 0.000 0.667 0.333
F 0.771 0.367 0.331

Results
The value obtained for the density is 3.54 g/cm³. For the magnetic moment, the calculation gives 1.01 μB per cell. As for the crystal system: trigonal. Its space-group type is No. 149. Its raw total energy is -39.93 eV/f.u. As for the density of states at the Fermi level: 9.4 states/eV per cell.

no.,formation energy from raw total energies (meV per atom)
1,82.8
2,1396.7
3,3552.9
4,-2933.3
5,-423.7
6,445.6
7,337.7
8,-2418.9